--- P ---
TlPtW3 | Alexandria via LeMat-Bulk | PBE | optimized geometry; total moment = 0.0 μB/f.u.
1.0
4.876 0.000 0.000
0.000 4.876 0.000
0.000 0.000 4.876
W Pt Tl
3 1 1
Direct
0.000 0.500 0.000 W
0.500 0.000 0.000 W
0.000 0.000 0.500 W
0.500 0.500 0.500 Pt
0.000 0.000 0.000 Tl

---

--- Q ---
TlPtW3 | Alexandria via LeMat-Bulk | PBE | optimized geometry; total moment = 0.0 μB/f.u.
1.0
4.833 0.000 0.000
0.000 4.833 0.000
0.000 0.000 4.833
Tl W Pt
1 3 1
Direct
0.500 0.500 0.500 Tl
0.500 0.000 0.000 W
0.000 0.000 0.500 W
0.000 0.500 0.000 W
0.000 0.000 0.000 Pt

---

Which structure wins on stability? Q wins.